First-principles (GGA+U) data for a relaxed FeWO4 crystal, as listed in Alexandria via LeMat-Bulk.

Cell lengths 4.821, 5.763, 5.109 Å; angles 90.00, 90.87, 90.00 degrees
Sites, in units of the cell vectors:
1 Fe 0.000 0.166 0.250
2 Fe 0.000 0.834 0.750
3 W 0.500 0.327 0.750
4 W 0.500 0.673 0.250
5 O 0.244 0.126 0.607
6 O 0.244 0.874 0.107
7 O 0.289 0.390 0.067
8 O 0.289 0.610 0.567
9 O 0.711 0.390 0.433
10 O 0.711 0.610 0.933
11 O 0.756 0.126 0.893
12 O 0.756 0.874 0.393

Calculated values
VASP energy: -7.303 eV per atom
Mass density: 7.105 Mg/m³
Calculated volume: 142 Å³ per cell